Record 1
An optimized crystal structure of LiYEr2. Source: Alexandria via LeMat-Bulk, functional PBE.

Cell: 3.7725 5.5259 5.5259 Å, 90.00 90.00 90.00°
Atoms (fractional coordinates):
Li  0.5000  0.5000  0.5000
Er  0.0000  0.0000  0.5000
Y  0.5000  0.0000  0.0000
Er  0.0000  0.5000  0.0000

## Properties
For the total energy, the calculation gives -4.204 eV/atom. The excess energy over the best structure of this formula in the dataset comes out at 0.40 eV/f.u. The energy of formation from the pure elements comes out at 0.172 eV per atom. As for the space group: P4/mmm (123). The crystal system is tetragonal.

Record 2
An optimized crystal structure of CsDySn2I8. Source: Alexandria via LeMat-Bulk, functional PBE.

Cell: 7.8736 7.4826 10.3527 Å, 83.06 83.12 85.85°
Atoms (fractional coordinates):
Sn  0.4835  0.4678  0.7465
I  0.3921  0.2612  0.5436
Dy  0.0000  0.0000  0.0000
I  0.1661  0.7603  0.7985
I  0.1462  0.7378  0.2133
I  0.8339  0.2397  0.2015
I  0.3192  0.2221  0.9794
I  0.6079  0.7388  0.4564
I  0.6808  0.7779  0.0206
I  0.8538  0.2622  0.7867
Cs  0.0000  0.0000  0.5000
Sn  0.5165  0.5322  0.2535

## Properties
For the total energy, the calculation gives -3.075 eV/atom. For the uncorrected formation energy, the calculation gives -919.8 meV/atom. As for the space group: P-1 (2). The crystal system is triclinic.

Record 3
An optimized crystal structure of InPt5. Source: Alexandria via LeMat-Bulk, functional PBE.

Cell: 4.9173 4.9090 4.9463 Å, 80.59 119.81 109.20°
Atoms (fractional coordinates):
Pt  0.4722  0.5000  0.9444
Pt  0.6374  0.0000  0.2749
Pt  0.8019  0.5000  0.6037
Pt  0.1425  0.5000  0.2851
In  0.9723  0.0000  0.9445
Pt  0.3071  0.0000  0.6141

## Properties
For the total energy, the calculation gives -5.728 eV/atom. The energy of formation from the pure elements comes out at -0.238 eV per atom. As for the space group: C2/m (12). The crystal system is monoclinic.

Record 4
An optimized crystal structure of SiNi2Br. Source: Alexandria via LeMat-Bulk, functional PBE.

Cell: 6.1671 6.1671 6.1671 Å, 148.38 148.38 45.33°
Atoms (fractional coordinates):
Ni  0.2500  0.7500  0.5000
Br  0.7500  0.2500  0.5000
Si  0.5000  0.5000  0.0000
Ni  0.0000  0.0000  0.0000

## Properties
For the total energy, the calculation gives -4.249 eV/atom. The excess energy over the best structure of this formula in the dataset comes out at 2.41 eV/f.u. For the uncorrected formation energy, the calculation gives 416.0 meV/atom. As for the space group: I-4m2 (119). The crystal system is tetragonal.

Record 5
An optimized crystal structure of CePa2N3. Source: Alexandria via LeMat-Bulk, functional PBE.

Cell: 3.5241 4.9833 6.0903 Å, 114.15 106.82 90.00°
Atoms (fractional coordinates):
Pa  0.1648  0.1648  0.8297
N  0.8233  0.3233  0.1467
Pa  0.8352  0.8352  0.1703
N  0.1767  0.6767  0.8533
Ce  0.5000  0.5000  0.5000
N  0.5000  0.0000  0.5000

## Properties
For the total energy, the calculation gives -9.941 eV/atom. For the uncorrected formation energy, the calculation gives -1624.1 meV/atom. As for the space group: Immm (71). The crystal system is orthorhombic.

Record 6
An optimized crystal structure of InH3Pd6. Source: Alexandria via LeMat-Bulk, functional PBE.

Cell: 5.6996 6.9681 6.9681 Å, 114.71 90.00 90.00°
Atoms (fractional coordinates):
In  0.4745  0.7913  0.2087
Pd  0.9748  0.7947  0.2053
H  0.4715  0.9042  0.7425
H  0.4726  0.3791  0.6209
Pd  0.2324  0.9994  0.0006
In  0.9745  0.2087  0.7913
H  0.9726  0.6209  0.3791
Pd  0.2252  0.1929  0.4374
Pd  0.4748  0.2053  0.7947
Pd  0.7189  0.5629  0.8072
Pd  0.7252  0.8071  0.5626
Pd  0.7252  0.4374  0.1929
Pd  0.2189  0.8072  0.5629
Pd  0.2189  0.4371  0.1928
H  0.9715  0.7425  0.9042
Pd  0.2252  0.5626  0.8071
Pd  0.7324  0.0006  0.9994
H  0.9715  0.0958  0.2575
Pd  0.7189  0.1928  0.4371
H  0.4715  0.2575  0.0958

## Properties
For the total energy, the calculation gives -4.572 eV/atom. As for the space group: Cmc2_1 (36). The crystal system is orthorhombic.

Record 7
An optimized crystal structure of Zn3MoC. Source: Alexandria via LeMat-Bulk, functional PBE.

Cell: 5.0388 5.0388 5.0388 Å, 90.00 90.00 90.00°
Each line ends with the local moment (μB).
Atoms (fractional coordinates):
Mo  0.0000  0.0000  0.0000  -2.12
C  0.5000  0.5000  0.5000  0.90
Zn  0.5000  0.0000  0.0000  -0.06
Zn  0.0000  0.5000  0.0000  -0.06
Zn  0.0000  0.0000  0.5000  -0.04

## Properties
For the total energy, the calculation gives -2.507 eV/atom. The excess energy over the best structure of this formula in the dataset comes out at 6.15 eV/f.u. The energy of formation from the pure elements comes out at 2.268 eV per atom. As for the space group: Pm-3m (221). The crystal system is cubic.

Record 8
An optimized crystal structure of MgFeCuIr. Source: Alexandria via LeMat-Bulk, functional PBE.

Cell: 4.2872 4.2872 4.2872 Å, 60.00 60.00 60.00°
Each line ends with the local moment (μB).
Atoms (fractional coordinates):
Cu  0.2500  0.2500  0.2500  0.04
Ir  0.7500  0.7500  0.7500  0.43
Mg  0.0000  0.0000  0.0000  -0.01
Fe  0.5000  0.5000  0.5000  2.92

## Properties
For the total energy, the calculation gives -5.809 eV/atom. The energy of formation from the pure elements comes out at -0.055 eV per atom. As for the space group: F-43m (216). The crystal system is cubic.

Record 9
An optimized crystal structure of Tb3Pm2SmHo6. Source: Alexandria via LeMat-Bulk, functional PBE.

Cell: 6.1738 6.1738 11.7685 Å, 95.00 95.00 119.96°
Atoms (fractional coordinates):
Pm  0.6666  0.3334  0.0000
Ho  0.2486  0.2486  0.7478
Sm  0.0000  0.0000  0.0000
Ho  0.4179  0.0846  0.2521
Tb  0.5000  0.5000  0.5000
Ho  0.7514  0.7514  0.2522
Ho  0.9154  0.5821  0.7479
Tb  0.1667  0.8333  0.5000
Pm  0.3334  0.6666  0.0000
Ho  0.0846  0.4179  0.2521
Tb  0.8333  0.1667  0.5000
Ho  0.5821  0.9154  0.7479

## Properties
For the total energy, the calculation gives -4.616 eV/atom. The energy of formation from the pure elements comes out at 0.016 eV per atom. As for the space group: C2/m (12). The crystal system is monoclinic.

Record 10
An optimized crystal structure of BeTlIn2Ru. Source: Alexandria via LeMat-Bulk, functional PBE.

Cell: 5.6244 5.1979 5.6244 Å, 90.00 90.00 90.00°
Each line ends with the local moment (μB).
Atoms (fractional coordinates):
In  0.5000  0.0000  0.0000  -0.02
Tl  0.0000  0.0000  0.0000  -0.03
Ru  0.0000  0.5000  0.0000  1.73
In  0.0000  0.0000  0.5000  -0.02
Be  0.5000  0.5000  0.5000  0.01

## Properties
For the total energy, the calculation gives -2.510 eV/atom. The energy of formation from the pure elements comes out at 1.659 eV per atom. As for the space group: P4/mmm (123). The crystal system is tetragonal.

Record 11
An optimized crystal structure of AlSeO4. Source: Alexandria via LeMat-Bulk, functional PBE.

Cell: 5.2978 5.2978 5.3340 Å, 119.78 119.78 90.00°
Each line ends with the local moment (μB).
Atoms (fractional coordinates):
Al  0.7500  0.2500  0.5000  0.02
O  0.1226  0.2357  0.7517  0.17
O  0.7643  0.3709  0.2483  0.17
O  0.6291  0.5160  0.7517  0.17
O  0.4840  0.8774  0.2483  0.17
Se  0.5000  0.5000  0.0000  0.13

## Properties
For the total energy, the calculation gives -5.849 eV/atom. For the uncorrected formation energy, the calculation gives -1339.3 meV/atom. As for the space group: I-4 (82). The crystal system is tetragonal.

Record 12
An optimized crystal structure of Cu2IrSe. Source: Alexandria via LeMat-Bulk, functional PBE.

Cell: 3.7823 3.7823 3.9873 Å, 90.00 90.00 90.00°
Atoms (fractional coordinates):
Ir  0.5000  0.0000  0.5000
Se  0.0000  0.5000  0.5000
Cu  0.5000  0.5000  0.0000
Cu  0.0000  0.0000  0.0000

## Properties
For the total energy, the calculation gives -4.791 eV/atom. For the uncorrected formation energy, the calculation gives 343.2 meV/atom. As for the space group: P4/mmm (123). The crystal system is tetragonal.